# NbTlCrBi2 (PBE, relaxed)
# Energy of formation: 694 meV per atom
# Total magnetic moment: 3.11 μB per cell
# SG: P4/mmm, No. 123
data_NbTlCrBi2
_chemical_formula_sum 'Nb1 Tl1 Cr1 Bi2'
_cell_length_a 5.5376
_cell_length_b 5.5376
_cell_length_c 5.0480
_cell_angle_alpha 90.00
_cell_angle_beta 90.00
_cell_angle_gamma 90.00
_space_group_name_H-M_alt 'P 1'
_space_group_IT_number 1
_space_group_name_Hall 'P 1'
loop_
_atom_site_label
_atom_site_type_symbol
_atom_site_fract_x
_atom_site_fract_y
_atom_site_fract_z
Nb1 Nb 0.0000 0.0000 0.0000
Tl1 Tl 0.5000 0.5000 0.5000
Cr1 Cr 0.0000 0.0000 0.5000
Bi1 Bi 0.0000 0.5000 0.0000
Bi2 Bi 0.5000 0.0000 0.0000